No. 1
Material: BaLiInPd
Method: DFT, PBE-GGA
State: optimized geometry

Computed properties:
The value obtained for the size of the total moment is 0.00 Bohr magnetons per cell. The space-group type is Cm. As for the energy of formation from the pure elements: -46.4 kJ/mol of atoms. The crystal system is monoclinic. For the calculated volume, the calculation gives 27.65 Å³ per atom. The calculation puts the density of states at the Fermi level at 0.561 states/eV per atom.

a b c (Å): 4.775 4.775 6.270
angles (deg): 112.84 112.84 59.93
Element x y z (fractional)
1 Ba 0.000 0.000 0.000
2 Li 0.813 0.813 0.438
3 In 0.515 0.515 0.544
4 Pd 0.193 0.193 0.577

---

No. 2
Material: PaV2S3
Method: DFT, PBE-GGA
State: optimized geometry

Computed properties:
The value obtained for the size of the total moment is 2.24 Bohr magnetons per cell. The space-group type is C2/m. The formation energy (no corrections) is -888 meV/atom. The crystal system is monoclinic. For the calculated volume, the calculation gives 19.06 Å³ per atom. The calculation puts the density of states at the Fermi level at 0.836 states/eV per atom.

a b c (Å): 10.713 10.713 6.054
angles (deg): 96.63 96.63 19.36
Element x y z (fractional)
1 Pa 0.148 0.148 0.442
2 Pa 0.852 0.852 0.558
3 V 0.209 0.209 0.941
4 V 0.450 0.450 0.332
5 V 0.550 0.550 0.668
6 V 0.791 0.791 0.059
7 S 0.099 0.099 0.857
8 S 0.270 0.270 0.286
9 S 0.442 0.442 0.710
10 S 0.558 0.558 0.290
11 S 0.730 0.730 0.714
12 S 0.901 0.901 0.143

---

No. 3
Material: Sr2TcRh
Method: DFT, PBE-GGA
State: optimized geometry

Computed properties:
The value obtained for the size of the total moment is 3.50 Bohr magnetons per cell. The space-group type is I-42d. The energy above the lowest structure with this stoichiometry is 0.357 eV/atom. As for the energy of formation from the pure elements: 55.2 kJ/mol of atoms. The crystal system is tetragonal. For the calculated volume, the calculation gives 36.98 Å³ per atom. The calculation puts the density of states at the Fermi level at 1.058 states/eV per atom.

a b c (Å): 8.270 8.270 8.270
angles (deg): 94.65 94.65 146.92
Element x y z (fractional)
1 Sr 0.375 0.203 0.328
2 Sr 0.797 0.125 0.172
3 Sr 0.875 0.047 0.672
4 Sr 0.953 0.625 0.828
5 Tc 0.250 0.750 0.500
6 Tc 0.500 0.500 0.000
7 Rh 0.000 0.000 0.000
8 Rh 0.750 0.250 0.500

---

No. 4
Material: Re2AgW
Method: DFT, PBE-GGA
State: optimized geometry

Computed properties:
The value obtained for the size of the total moment is 0.00 Bohr magnetons per cell. The space-group type is P4mm. The energy above the lowest structure with this stoichiometry is 0.118 eV/atom. As for the energy of formation from the pure elements: 41.3 kJ/mol of atoms. The crystal system is tetragonal. For the calculated volume, the calculation gives 16.01 Å³ per atom. The calculation puts the density of states at the Fermi level at 1.237 states/eV per atom.

a b c (Å): 2.783 2.783 8.271
angles (deg): 90.00 90.00 90.00
Element x y z (fractional)
1 Re 0.000 0.000 0.000
2 Re 0.500 0.500 0.218
3 Ag 0.500 0.500 0.731
4 W 0.000 0.000 0.461

---

No. 5
Material: Al2TcRuW
Method: DFT, PBE-GGA
State: optimized geometry

Computed properties:
The value obtained for the size of the total moment is 2.83 Bohr magnetons per cell. The space-group type is P4/mmm. As for the energy of formation from the pure elements: 131.4 kJ/mol of atoms. The crystal system is tetragonal. For the calculated volume, the calculation gives 19.18 Å³ per atom. The calculation puts the density of states at the Fermi level at 0.771 states/eV per atom.

a b c (Å): 4.558 4.558 4.614
angles (deg): 90.00 90.00 90.00
Element x y z (fractional)
1 Al 0.000 0.500 0.000
2 Al 0.500 0.000 0.000
3 Tc 0.000 0.000 0.000
4 Ru 0.000 0.000 0.500
5 W 0.500 0.500 0.500

---

No. 6
Material: Na2ZnPIr
Method: DFT, PBE-GGA
State: optimized geometry

Computed properties:
The value obtained for the size of the total moment is 2.00 Bohr magnetons per cell. The space-group type is P4/mmm. As for the energy of formation from the pure elements: 76.1 kJ/mol of atoms. The crystal system is tetragonal. For the calculated volume, the calculation gives 26.06 Å³ per atom. The calculation puts the density of states at the Fermi level at 0.557 states/eV per atom.

a b c (Å): 5.479 5.479 4.340
angles (deg): 90.00 90.00 90.00
Element x y z (fractional)
1 Na 0.000 0.500 0.000
2 Na 0.500 0.000 0.000
3 Zn 0.000 0.000 0.500
4 P 0.000 0.000 0.000
5 Ir 0.500 0.500 0.500